The following is a PBE-GGA calculation of crystalline K4TlBr6 at its relaxed geometry, from Alexandria via LeMat-Bulk.

Structure (POSCAR):
```
K4TlBr6
1.0
9.220 0.000 0.000
0.000 9.220 0.000
0.000 0.000 9.091
K Tl Br
8 2 12
direct
0.333 0.167 0.250
0.167 0.667 0.750
0.667 0.833 0.750
0.833 0.333 0.750
0.333 0.167 0.750
0.167 0.667 0.250
0.833 0.333 0.250
0.667 0.833 0.250
0.500 0.500 0.000
0.000 0.000 0.500
0.321 0.891 0.500
0.821 0.609 0.000
0.609 0.179 0.000
0.109 0.321 0.500
0.000 0.000 0.182
0.500 0.500 0.318
0.391 0.821 0.000
0.000 0.000 0.818
0.179 0.391 0.000
0.500 0.500 0.682
0.891 0.679 0.500
0.679 0.109 0.500
```

Crystal system: tetragonal
Space group: P4/mnc (128)
Formation energy (no corrections) in eV per formula unit: -15.3
ρ in Mg/m³: 3.6
V in Å³/f.u.: 386.38
Calculated total energy in eV per atom: -2.921
D(E_F) in states/eV/cell: 6.6